P) VAgN2, optimized geometry, DFT PBE; crystal system = tetragonal; total magnetic moment = 0.000 μB/atom; space group = No. 122
1.0
-2.457 2.457 4.384
2.457 -2.457 4.384
2.457 2.457 -4.384
V Ag N
2 2 4
direct
0.000 0.000 0.000
0.750 0.250 0.500
0.250 0.750 0.500
0.500 0.500 0.000
0.037 0.625 0.912
0.375 0.287 0.412
0.713 0.125 0.088
0.875 0.963 0.588

***

Q) VAgN2, optimized geometry, DFT PBE; crystal system = trigonal; total magnetic moment = 0.000 μB/atom; space group = No. 166
1.0
1.582 0.913 6.173
-1.582 0.913 6.173
0.000 -1.826 6.173
V Ag N
1 1 2
direct
0.000 0.000 0.000
0.500 0.500 0.500
0.097 0.097 0.097
0.903 0.903 0.903

***

R) VAgN2, optimized geometry, DFT PBE; crystal system = cubic; total magnetic moment = 0.023 μB/atom; space group = No. 225
1.0
0.000 2.732 2.732
2.732 0.000 2.732
2.732 2.732 0.000
V Ag N
1 1 2
direct
0.000 0.000 0.000
0.500 0.500 0.500
0.250 0.250 0.250
0.750 0.750 0.750

***

S) VAgN2, optimized geometry, DFT PBE; crystal system = trigonal; total magnetic moment = 0.000 μB/atom; space group = No. 166
1.0
1.460 0.843 6.351
-1.460 0.843 6.351
0.000 -1.686 6.351
V Ag N
1 1 2
direct
0.000 0.000 0.000
0.500 0.500 0.500
0.389 0.389 0.389
0.611 0.611 0.611

***

The most stable arrangement is P), and the next structure is 0.104 eV/atom less stable.

***

P) VAgN, optimized geometry, DFT PBE; crystal system = tetragonal; total magnetic moment = 0.000 μB/atom; space group = No. 129
1.0
3.879 0.000 0.000
0.000 3.879 0.000
0.000 0.000 5.168
V Ag N
2 2 2
direct
0.250 0.750 0.000
0.750 0.250 0.000
0.250 0.250 0.475
0.750 0.750 0.525
0.250 0.250 0.933
0.750 0.750 0.067

***

Q) VAgN, optimized geometry, DFT PBE; crystal system = tetragonal; total magnetic moment = 0.000 μB/atom; space group = No. 129
1.0
2.821 0.000 0.000
0.000 2.821 0.000
0.000 0.000 10.097
V Ag N
2 2 2
direct
0.250 0.250 0.093
0.750 0.750 0.907
0.250 0.250 0.390
0.750 0.750 0.610
0.250 0.250 0.891
0.750 0.750 0.109

***

The most stable arrangement is Q), and the next structure is 0.218 eV/atom less stable.

***

P) AgWN2, optimized geometry, DFT PBE; crystal system = cubic; total magnetic moment = 0.219 μB/atom; space group = No. 225
1.0
0.000 2.776 2.776
2.776 0.000 2.776
2.776 2.776 0.000
Ag W N
1 1 2
direct
0.000 0.000 0.000
0.500 0.500 0.500
0.250 0.250 0.250
0.750 0.750 0.750

***

Q) AgWN2, optimized geometry, DFT PBE; crystal system = trigonal; total magnetic moment = 0.000 μB/atom; space group = No. 166
1.0
1.498 0.865 6.642
-1.498 0.865 6.642
0.000 -1.730 6.642
Ag W N
1 1 2
direct
0.000 0.000 0.000
0.500 0.500 0.500
0.109 0.109 0.109
0.891 0.891 0.891

***

R) AgWN2, optimized geometry, DFT PBE; crystal system = tetragonal; total magnetic moment = 0.000 μB/atom; space group = No. 122
1.0
-2.493 2.493 4.845
2.493 -2.493 4.845
2.493 2.493 -4.845
Ag W N
2 2 4
direct
0.000 0.000 0.000
0.750 0.250 0.500
0.250 0.750 0.500
0.500 0.500 0.000
0.216 0.625 0.091
0.375 0.466 0.591
0.534 0.125 0.909
0.875 0.784 0.409

***

The most stable arrangement is Q), and the next structure is 0.051 eV/atom less stable.

***

P) YAgN2, optimized geometry, DFT PBE; crystal system = tetragonal; total magnetic moment = 0.000 μB/atom; space group = No. 122
1.0
-2.370 2.370 5.849
2.370 -2.370 5.849
2.370 2.370 -5.849
Y Ag N
2 2 4
direct
0.000 0.000 0.000
0.750 0.250 0.500
0.250 0.750 0.500
0.500 0.500 0.000
0.144 0.625 0.019
0.375 0.394 0.519
0.606 0.125 0.981
0.875 0.856 0.481

***

Q) YAgN2, optimized geometry, DFT PBE; crystal system = cubic; total magnetic moment = 0.241 μB/atom; space group = No. 225
1.0
0.000 2.959 2.959
2.959 0.000 2.959
2.959 2.959 0.000
Y Ag N
1 1 2
direct
0.000 0.000 0.000
0.500 0.500 0.500
0.250 0.250 0.250
0.750 0.750 0.750

***

R) YAgN2, optimized geometry, DFT PBE; crystal system = trigonal; total magnetic moment = 0.000 μB/atom; space group = No. 166
1.0
1.745 1.008 6.303
-1.745 1.008 6.303
0.000 -2.015 6.303
Y Ag N
1 1 2
direct
0.000 0.000 0.000
0.500 0.500 0.500
0.118 0.118 0.118
0.882 0.882 0.882

***

S) YAgN2, optimized geometry, DFT PBE; crystal system = trigonal; total magnetic moment = 0.001 μB/atom; space group = No. 166
1.0
1.827 1.055 6.097
-1.827 1.055 6.097
0.000 -2.110 6.097
Y Ag N
1 1 2
direct
0.000 0.000 0.000
0.500 0.500 0.500
0.391 0.391 0.391
0.609 0.609 0.609

***

The most stable arrangement is S), and the next structure is 0.102 eV/atom less stable.

***

P) Y3AgN, optimized geometry, DFT PBE; crystal system = cubic; total magnetic moment = 0.001 μB/atom; space group = No. 221
1.0
4.807 0.000 0.000
0.000 4.807 0.000
0.000 0.000 4.807
Y Ag N
3 1 1
direct
0.000 0.000 0.500
0.000 0.500 0.000
0.500 0.000 0.000
0.500 0.500 0.500
0.000 0.000 0.000

***

Q) Y3AgN, optimized geometry, DFT PBE; crystal system = orthorhombic; total magnetic moment = 0.000 μB/atom; space group = No. 74
1.0
-3.423 4.723 3.398
3.423 -4.723 3.398
3.423 4.723 -3.398
Y Ag N
6 2 2
direct
0.207 0.000 0.707
0.207 0.500 0.207
0.333 0.083 0.250
0.667 0.917 0.750
0.793 0.000 0.293
0.793 0.500 0.793
0.240 0.490 0.750
0.760 0.510 0.250
0.000 0.000 0.000
0.500 0.000 0.500

***

The most stable arrangement is Q), and the next structure is 0.064 eV/atom less stable.

***

P) ZrAgN2, optimized geometry, DFT PBE; crystal system = trigonal; total magnetic moment = 0.001 μB/atom; space group = No. 166
1.0
1.687 0.974 6.230
-1.687 0.974 6.230
0.000 -1.948 6.230
Zr Ag N
1 1 2
direct
0.000 0.000 0.000
0.500 0.500 0.500
0.390 0.390 0.390
0.610 0.610 0.610

***

Q) ZrAgN2, optimized geometry, DFT PBE; crystal system = tetragonal; total magnetic moment = 0.000 μB/atom; space group = No. 122
1.0
-2.507 2.507 5.028
2.507 -2.507 5.028
2.507 2.507 -5.028
Zr Ag N
2 2 4
direct
0.000 0.000 0.000
0.750 0.250 0.500
0.250 0.750 0.500
0.500 0.500 0.000
0.092 0.625 0.967
0.375 0.342 0.467
0.658 0.125 0.033
0.875 0.908 0.533

***

The most stable arrangement is P), and the next structure is 0.124 eV/atom less stable.